[1]
Here is a geometry-optimized LaPrCo5 structure from Alexandria. Energies are from GGA-PBE.

Geometry as POSCAR:
```
LaPrCo5
1.0
8.719 0.000 0.000
0.000 4.930 0.000
0.000 0.000 10.933
La Pr Co
4 4 20
direct
0.128 0.250 0.120
0.372 0.750 0.620
0.628 0.250 0.380
0.872 0.750 0.880
0.244 0.250 0.425
0.256 0.750 0.925
0.744 0.250 0.075
0.756 0.750 0.575
0.052 0.750 0.483
0.054 0.250 0.859
0.072 0.502 0.677
0.072 0.998 0.677
0.185 0.750 0.270
0.315 0.250 0.770
0.428 0.002 0.177
0.428 0.498 0.177
0.446 0.750 0.359
0.448 0.250 0.983
0.552 0.750 0.017
0.554 0.250 0.641
0.572 0.502 0.823
0.572 0.998 0.823
0.685 0.750 0.230
0.815 0.250 0.730
0.928 0.002 0.323
0.928 0.498 0.323
0.946 0.750 0.141
0.948 0.250 0.517
```

Computed properties:
ρ: 8.1 Mg/m³
Space-group type: Pnma



[2]
Here is a geometry-optimized La2Pr3Co2 structure from Alexandria. Energies are from GGA-PBE.

Geometry as POSCAR:
```
La2Pr3Co2
1.0
3.814 0.000 0.000
-1.896 6.245 0.000
-1.903 -2.460 8.493
La Pr Co
2 3 2
direct
0.126 0.447 0.303
0.874 0.553 0.697
0.000 0.000 0.500
0.298 0.182 0.914
0.702 0.818 0.086
0.443 0.131 0.255
0.557 0.869 0.745
```

Computed properties:
ρ: 6.7 Mg/m³
Space-group type: P-1



[3]
Here is a geometry-optimized La2PrCo9 structure from Alexandria. Energies are from GGA-PBE.

Geometry as POSCAR:
```
La2PrCo9
1.0
2.527 1.459 8.366
-2.527 1.459 8.366
0.000 -2.918 8.366
La Pr Co
2 1 9
direct
0.140 0.140 0.140
0.860 0.860 0.860
0.000 0.000 0.000
0.084 0.576 0.576
0.332 0.332 0.332
0.424 0.424 0.916
0.424 0.916 0.424
0.500 0.500 0.500
0.576 0.084 0.576
0.576 0.576 0.084
0.668 0.668 0.668
0.916 0.424 0.424
```

Computed properties:
ρ: 8.5 Mg/m³
Space-group type: R-3m



[4]
Here is a geometry-optimized LaPr2Co6 structure from Alexandria. Energies are from GGA-PBE.

Geometry as POSCAR:
```
LaPr2Co6
1.0
6.792 0.000 0.000
-3.396 5.882 0.000
0.000 0.000 4.277
La Pr Co
1 2 6
direct
0.000 0.000 0.000
0.333 0.667 0.000
0.667 0.333 0.000
0.000 0.334 0.500
0.000 0.666 0.500
0.334 0.000 0.500
0.334 0.334 0.500
0.666 0.000 0.500
0.666 0.666 0.500
```

Computed properties:
ρ: 7.5 Mg/m³
Space-group type: P6/mmm



no.,electronic total energy (eV/atom)
1,-6.4456
2,-5.5526
3,-6.5821
4,-6.4001